[1]
The following is a PBE-GGA calculation of a relaxed Pr4Os crystal, from Alexandria via LeMat-Bulk.

- DOS(E_F) (states/eV/f.u.) = 5.2
- E_form (eV/atom) = -0.05
- energy above the lowest structure with this stoichiometry (meV per atom) = 0

a = 7.600 Å, b = 7.600 Å, c = 7.600 Å
α = 108.34°, β = 108.34°, γ = 111.76°
Fractional positions:
1 Pr 0.203 0.255 0.552
2 Pr 0.203 0.651 0.948
3 Pr 0.255 0.203 0.052
4 Pr 0.349 0.797 0.552
5 Pr 0.651 0.203 0.448
6 Pr 0.745 0.797 0.948
7 Pr 0.797 0.349 0.052
8 Pr 0.797 0.745 0.448
9 Os 0.125 0.875 0.250
10 Os 0.875 0.125 0.750

***

[2]
The following is a PBE-GGA calculation of a relaxed CeSmErGa crystal, from Alexandria via LeMat-Bulk.

- DOS(E_F) (states/eV/f.u.) = 8.8
- E_form (eV/atom) = -0.08

a = 5.333 Å, b = 5.333 Å, c = 5.333 Å
α = 60.00°, β = 60.00°, γ = 60.00°
Fractional positions:
1 Ce 0.000 0.000 0.000
2 Sm 0.500 0.500 0.500
3 Er 0.750 0.750 0.750
4 Ga 0.250 0.250 0.250

***

[3]
The following is a PBE-GGA calculation of a relaxed V2ZnSnW crystal, from Alexandria via LeMat-Bulk.

- DOS(E_F) (states/eV/f.u.) = 6.7
- E_form (eV/atom) = 1.18

a = 4.676 Å, b = 4.676 Å, c = 4.944 Å
α = 90.00°, β = 90.00°, γ = 90.00°
Fractional positions:
1 V 0.000 0.500 0.000
2 V 0.500 0.000 0.000
3 Zn 0.000 0.000 0.500
4 Sn 0.500 0.500 0.500
5 W 0.000 0.000 0.000